(1)
A plane-wave DFT calculation with GGA-PBE was carried out for a geometry-optimized AcGeBiO6 structure.

```
data_AcGeBiO6
_chemical_formula_sum 'Ac1 Ge1 Bi1 O6'
_space_group_name_H-M_alt 'P 3 1 2'
_space_group_IT_number 149
_cell_length_a 5.6253
_cell_length_b 5.6253
_cell_length_c 4.7574
_cell_angle_alpha 90.00
_cell_angle_beta 90.00
_cell_angle_gamma 120.00
loop_
_space_group_symop_operation_xyz
'x,y,z'
'-y,x-y,z'
'-x+y,-x,z'
'-y,-x,-z'
'-x+y,y,-z'
'x,x-y,-z'
loop_
_atom_site_label
_atom_site_type_symbol
_atom_site_fract_x
_atom_site_fract_y
_atom_site_fract_z
Ac1 Ac 0.0000 0.0000 0.0000
Ge1 Ge 0.3333 0.6667 0.0000
Bi1 Bi 0.6667 0.3333 0.5000
O1 O 0.0316 0.3961 0.2375
```

Summary:
As for the uncorrected formation energy: -1294 kJ/mol of formula units. The raw total energy is -6.196 eV per atom.

(2)
A plane-wave DFT calculation with GGA-PBE was carried out for a geometry-optimized AcGeBiPb structure.

```
data_AcGeBiPb
_chemical_formula_sum 'Ac4 Ge4 Bi4 Pb4'
_space_group_name_H-M_alt 'F -4 3 m'
_space_group_IT_number 216
_space_group_name_Hall 'F -4 2 3'
_cell_length_a 7.943
_cell_length_b 7.943
_cell_length_c 7.943
_cell_angle_alpha 90.00
_cell_angle_beta 90.00
_cell_angle_gamma 90.00
loop_
_atom_site_label
_atom_site_type_symbol
_atom_site_fract_x
_atom_site_fract_y
_atom_site_fract_z
Ac1 Ac 0.000 0.000 0.000
Ge1 Ge 0.250 0.250 0.250
Bi1 Bi 0.250 0.250 0.750
Pb1 Pb 0.000 0.000 0.500
```

Summary:
The raw total energy is -4.317 eV per atom.

(3)
A plane-wave DFT calculation with GGA-PBE was carried out for a geometry-optimized Ac3Ge2BiPd6 structure.

```
data_Ac3Ge2BiPd6
_chemical_formula_sum 'Ac3 Ge2 Bi1 Pd6'
_space_group_name_H-M_alt 'P -3 m 1'
_space_group_IT_number 164
_space_group_name_Hall '-P 3 2"'
_cell_length_a 5.8947
_cell_length_b 5.8947
_cell_length_c 9.7482
_cell_angle_alpha 90.00
_cell_angle_beta 90.00
_cell_angle_gamma 120.00
loop_
_atom_site_label
_atom_site_type_symbol
_atom_site_fract_x
_atom_site_fract_y
_atom_site_fract_z
Ac1 Ac 0.0000 0.0000 0.0000
Ac2 Ac 0.3333 0.6667 0.6381
Ge1 Ge 0.3333 0.6667 0.0697
Bi1 Bi 0.0000 0.0000 0.5000
Pd1 Pd 0.1721 0.3441 0.2696
```

Summary:
The raw total energy is -5.387 eV per atom.

(4)
A plane-wave DFT calculation with GGA-PBE was carried out for a geometry-optimized AcGeBiPd structure.

```
data_AcGeBiPd
_chemical_formula_sum 'Ac4 Ge4 Bi4 Pd4'
_space_group_name_H-M_alt 'F -4 3 m'
_space_group_IT_number 216
_space_group_name_Hall 'F -4 2 3'
_cell_length_a 7.449
_cell_length_b 7.449
_cell_length_c 7.449
_cell_angle_alpha 90.00
_cell_angle_beta 90.00
_cell_angle_gamma 90.00
loop_
_atom_site_label
_atom_site_type_symbol
_atom_site_fract_x
_atom_site_fract_y
_atom_site_fract_z
Ac1 Ac 0.000 0.000 0.000
Ge1 Ge 0.250 0.250 0.750
Bi1 Bi 0.000 0.000 0.500
Pd1 Pd 0.250 0.250 0.250
```

Summary:
The raw total energy is -4.875 eV per atom.

(5)
A plane-wave DFT calculation with GGA-PBE was carried out for a geometry-optimized Ac3Ge2Bi2Pd4 structure.

```
data_Ac3Ge2Bi2Pd4
_chemical_formula_sum 'Ac3 Ge2 Bi2 Pd4'
_space_group_name_H-M_alt 'P -3 m 1'
_space_group_IT_number 164
_space_group_name_Hall '-P 3 2"'
_cell_length_a 4.7252
_cell_length_b 4.7252
_cell_length_c 14.6460
_cell_angle_alpha 90.00
_cell_angle_beta 90.00
_cell_angle_gamma 120.00
loop_
_atom_site_label
_atom_site_type_symbol
_atom_site_fract_x
_atom_site_fract_y
_atom_site_fract_z
Ac1 Ac 0.0000 0.0000 0.0000
Ac2 Ac 0.0000 0.0000 0.2644
Ge1 Ge 0.3333 0.6667 0.1476
Bi1 Bi 0.3333 0.6667 0.5722
Pd1 Pd 0.3333 0.6667 0.3749
Pd2 Pd 0.3333 0.6667 0.8712
```

Summary:
The raw total energy is -5.266 eV per atom.

(6)
A plane-wave DFT calculation with GGA-PBE was carried out for a geometry-optimized AcGe2BiPd5 structure.

```
data_AcGe2BiPd5
_chemical_formula_sum 'Ac1 Ge2 Bi1 Pd5'
_space_group_name_H-M_alt 'P 4/m m m'
_space_group_IT_number 123
_space_group_name_Hall '-P 4 2'
_cell_length_a 4.251
_cell_length_b 4.251
_cell_length_c 11.172
_cell_angle_alpha 90.00
_cell_angle_beta 90.00
_cell_angle_gamma 90.00
loop_
_atom_site_label
_atom_site_type_symbol
_atom_site_fract_x
_atom_site_fract_y
_atom_site_fract_z
Ac1 Ac 0.000 0.000 0.000
Ge1 Ge 0.500 0.500 0.218
Bi1 Bi 0.000 0.000 0.500
Pd1 Pd 0.000 0.500 0.329
Pd2 Pd 0.500 0.500 0.000
```

Summary:
The raw total energy is -5.233 eV per atom.